[1]
A plane-wave DFT calculation with PBE was carried out for YFe2Hg2 after structural relaxation.

CIF file:
```
data_YFe2Hg2
_cell_length_a 3.8318
_cell_length_b 3.8318
_cell_length_c 7.3253
_cell_angle_alpha 74.84
_cell_angle_beta 74.84
_cell_angle_gamma 90.00
_space_group_name_H-M_alt 'P 1'
_space_group_IT_number 1
_space_group_name_Hall 'P 1'
loop_
_atom_site_label
_atom_site_type_symbol
_atom_site_fract_x
_atom_site_fract_y
_atom_site_fract_z
_atom_site_occupancy
Y1 Y 0.0000 0.0000 0.0000 1
Hg1 Hg 0.3894 0.3894 0.2212 1
Hg2 Hg 0.6106 0.6106 0.7788 1
Fe1 Fe 0.7500 0.2500 0.5000 1
Fe2 Fe 0.2500 0.7500 0.5000 1
```

Results
Energy above the most stable polymorph in this dataset, eV per formula unit: 0.120
Energy relative to the elements, eV/atom: 0.16

=====

[2]
A plane-wave DFT calculation with PBE was carried out for YFeHg after structural relaxation.

CIF file:
```
data_YFeHg
_cell_length_a 3.5748
_cell_length_b 3.5748
_cell_length_c 6.1754
_cell_angle_alpha 90.00
_cell_angle_beta 90.00
_cell_angle_gamma 120.00
_space_group_name_H-M_alt 'P 1'
_space_group_IT_number 1
_space_group_name_Hall 'P 1'
loop_
_atom_site_label
_atom_site_type_symbol
_atom_site_fract_x
_atom_site_fract_y
_atom_site_fract_z
_atom_site_occupancy
Fe1 Fe 0.0000 0.0000 0.0099 1
Hg1 Hg 0.6667 0.3333 0.2964 1
Y1 Y 0.3333 0.6667 0.6938 1
```

Results
Energy relative to the elements, eV/atom: 0.27

=====

[3]
A plane-wave DFT calculation with PBE was carried out for YFe2Hg after structural relaxation.

CIF file:
```
data_YFe2Hg
_cell_length_a 5.4283
_cell_length_b 5.4283
_cell_length_c 3.1174
_cell_angle_alpha 76.02
_cell_angle_beta 76.02
_cell_angle_gamma 114.70
_space_group_name_H-M_alt 'P 1'
_space_group_IT_number 1
_space_group_name_Hall 'P 1'
loop_
_atom_site_label
_atom_site_type_symbol
_atom_site_fract_x
_atom_site_fract_y
_atom_site_fract_z
_atom_site_occupancy
Fe1 Fe 0.0000 0.0000 0.0000 1
Fe2 Fe 0.5000 0.5000 0.0000 1
Hg1 Hg 0.5000 0.0000 0.5000 1
Y1 Y 0.0000 0.5000 0.5000 1
```

Results
Energy relative to the elements, eV/atom: 0.44